Entry 1:
A plane-wave DFT calculation with PBE-GGA was carried out for a geometry-optimized CaTaNF2 structure.

Calculated values
As for the calculated volume: 74.8 Å³/cell. For the formation energy (no corrections), the calculation gives -792 kJ/mol of formula units. As for the crystal system: tetragonal. The raw total energy is -34.1 eV/cell. For the offset from the most stable computed form, the calculation gives 0 meV per atom. For the total magnetic moment, the calculation gives 1.1 μB/f.u. The calculation puts the calculated density at 6062 kg/m³.

a b c (Å): 4.2873 4.2873 4.0689
angles (deg): 90.00 90.00 90.00
Space group P4/mmm (No. 123)
Unique sites:
Ca: 0.0000 0.0000 0.0000
Ta: 0.5000 0.5000 0.5000
N: 0.5000 0.5000 0.0000
F: 0.0000 0.5000 0.5000

=====

Entry 2:
A plane-wave DFT calculation with PBE-GGA was carried out for a geometry-optimized CaTcN2F structure.

Calculated values
As for the calculated volume: 63.9 Å³/cell. For the formation energy (no corrections), the calculation gives -411 kJ/mol of formula units. As for the crystal system: tetragonal. The raw total energy is -35.1 eV/cell. For the offset from the most stable computed form, the calculation gives 0 meV per atom. For the total magnetic moment, the calculation gives 0.0 μB/f.u. The calculation puts the calculated density at 4814 kg/m³.

a b c (Å): 3.9092 3.9092 4.1781
angles (deg): 90.00 90.00 90.00
Space group P4/mmm (No. 123)
Unique sites:
Ca: 0.0000 0.0000 0.0000
Tc: 0.5000 0.5000 0.5000
N: 0.0000 0.5000 0.5000
F: 0.5000 0.5000 0.0000

=====

Entry 3:
A plane-wave DFT calculation with PBE-GGA was carried out for a geometry-optimized CaTcNF2 structure.

Calculated values
As for the calculated volume: 69.4 Å³/cell. For the formation energy (no corrections), the calculation gives -639 kJ/mol of formula units. As for the crystal system: tetragonal. The raw total energy is -31.1 eV/cell. For the offset from the most stable computed form, the calculation gives 0 meV per atom. For the total magnetic moment, the calculation gives 0.0 μB/f.u. The calculation puts the calculated density at 4546 kg/m³.

a b c (Å): 4.2182 4.2182 3.9024
angles (deg): 90.00 90.00 90.00
Space group P4/mmm (No. 123)
Unique sites:
Ca: 0.0000 0.0000 0.0000
Tc: 0.5000 0.5000 0.5000
N: 0.5000 0.5000 0.0000
F: 0.0000 0.5000 0.5000

=====

Entry 4:
A plane-wave DFT calculation with PBE-GGA was carried out for a geometry-optimized CaTcN2F structure.

Calculated values
As for the calculated volume: 79.6 Å³/cell. For the formation energy (no corrections), the calculation gives 471 kJ/mol of formula units. As for the crystal system: tetragonal. The raw total energy is -26.0 eV/cell. For the offset from the most stable computed form, the calculation gives 1828 meV per atom. For the total magnetic moment, the calculation gives 4.0 μB/f.u. The calculation puts the calculated density at 3862 kg/m³.

a b c (Å): 4.4166 4.4166 4.0800
angles (deg): 90.00 90.00 90.00
Space group P4/mmm (No. 123)
Unique sites:
Ca: 0.0000 0.0000 0.0000
Tc: 0.5000 0.5000 0.5000
N: 0.0000 0.5000 0.0000
F: 0.0000 0.0000 0.5000

=====

Entry 5:
A plane-wave DFT calculation with PBE-GGA was carried out for a geometry-optimized CaTcNF2 structure.

Calculated values
As for the calculated volume: 84.2 Å³/cell. For the formation energy (no corrections), the calculation gives -283 kJ/mol of formula units. As for the crystal system: tetragonal. The raw total energy is -27.4 eV/cell. For the offset from the most stable computed form, the calculation gives 738 meV per atom. For the total magnetic moment, the calculation gives 4.0 μB/f.u. The calculation puts the calculated density at 3748 kg/m³.

a b c (Å): 4.1168 4.1168 4.9692
angles (deg): 90.00 90.00 90.00
Space group P4/mmm (No. 123)
Unique sites:
Ca: 0.0000 0.0000 0.0000
Tc: 0.5000 0.5000 0.5000
N: 0.0000 0.0000 0.5000
F: 0.0000 0.5000 0.0000

=====

Entry 6:
A plane-wave DFT calculation with PBE-GGA was carried out for a geometry-optimized CaTe2NF structure.

Calculated values
As for the calculated volume: 114.5 Å³/cell. For the formation energy (no corrections), the calculation gives 71 kJ/mol of formula units. As for the crystal system: tetragonal. The raw total energy is -17.7 eV/cell. For the offset from the most stable computed form, the calculation gives 0 meV per atom. For the total magnetic moment, the calculation gives 2.3 μB/f.u. The calculation puts the calculated density at 4760 kg/m³.

a b c (Å): 4.7865 4.7865 4.9987
angles (deg): 90.00 90.00 90.00
Space group P4/mmm (No. 123)
Unique sites:
Ca: 0.0000 0.0000 0.0000
Te: 0.0000 0.5000 0.5000
N: 0.5000 0.5000 0.0000
F: 0.5000 0.5000 0.5000

=====

Entry 7:
A plane-wave DFT calculation with PBE-GGA was carried out for a geometry-optimized CaTe2NF structure.

Calculated values
As for the calculated volume: 145.2 Å³/cell. For the formation energy (no corrections), the calculation gives 349 kJ/mol of formula units. As for the crystal system: tetragonal. The raw total energy is -14.9 eV/cell. For the offset from the most stable computed form, the calculation gives 576 meV per atom. For the total magnetic moment, the calculation gives 0.0 μB/f.u. The calculation puts the calculated density at 3756 kg/m³.

a b c (Å): 5.7834 5.7834 4.3396
angles (deg): 90.00 90.00 90.00
Space group P4/mmm (No. 123)
Unique sites:
Ca: 0.0000 0.0000 0.0000
Te: 0.0000 0.5000 0.0000
N: 0.0000 0.0000 0.5000
F: 0.5000 0.5000 0.5000

=====

Entry 8:
A plane-wave DFT calculation with PBE-GGA was carried out for a geometry-optimized CaTiN2F structure.

Calculated values
As for the calculated volume: 78.3 Å³/cell. For the formation energy (no corrections), the calculation gives 128 kJ/mol of formula units. As for the crystal system: tetragonal. The raw total energy is -27.1 eV/cell. For the offset from the most stable computed form, the calculation gives 1804 meV per atom. For the total magnetic moment, the calculation gives 1.0 μB/f.u. The calculation puts the calculated density at 2863 kg/m³.

a b c (Å): 4.3988 4.3988 4.0448
angles (deg): 90.00 90.00 90.00
Space group P4/mmm (No. 123)
Unique sites:
Ca: 0.0000 0.0000 0.0000
Ti: 0.5000 0.5000 0.5000
N: 0.0000 0.5000 0.0000
F: 0.0000 0.0000 0.5000

=====

Entry 9:
A plane-wave DFT calculation with PBE-GGA was carried out for a geometry-optimized CaTiN2F structure.

Calculated values
As for the calculated volume: 62.9 Å³/cell. For the formation energy (no corrections), the calculation gives -742 kJ/mol of formula units. As for the crystal system: tetragonal. The raw total energy is -36.1 eV/cell. For the offset from the most stable computed form, the calculation gives 0 meV per atom. For the total magnetic moment, the calculation gives 0.3 μB/f.u. The calculation puts the calculated density at 3561 kg/m³.

a b c (Å): 3.9532 3.9532 4.0271
angles (deg): 90.00 90.00 90.00
Space group P4/mmm (No. 123)
Unique sites:
Ca: 0.0000 0.0000 0.0000
Ti: 0.5000 0.5000 0.5000
N: 0.0000 0.5000 0.5000
F: 0.5000 0.5000 0.0000

=====

Entry 10:
A plane-wave DFT calculation with PBE-GGA was carried out for a geometry-optimized CaTlN2F structure.

Calculated values
As for the calculated volume: 84.2 Å³/cell. For the formation energy (no corrections), the calculation gives 71 kJ/mol of formula units. As for the crystal system: tetragonal. The raw total energy is -22.2 eV/cell. For the offset from the most stable computed form, the calculation gives 12 meV per atom. For the total magnetic moment, the calculation gives 1.3 μB/f.u. The calculation puts the calculated density at 5745 kg/m³.

a b c (Å): 4.2770 4.2770 4.6052
angles (deg): 90.00 90.00 90.00
Space group P4/mmm (No. 123)
Unique sites:
Ca: 0.0000 0.0000 0.0000
Tl: 0.5000 0.5000 0.5000
N: 0.0000 0.5000 0.5000
F: 0.5000 0.5000 0.0000

=====

Entry 11:
A plane-wave DFT calculation with PBE-GGA was carried out for a geometry-optimized CaTlN2F structure.

Calculated values
As for the calculated volume: 102.2 Å³/cell. For the formation energy (no corrections), the calculation gives 65 kJ/mol of formula units. As for the crystal system: tetragonal. The raw total energy is -22.2 eV/cell. For the offset from the most stable computed form, the calculation gives 0 meV per atom. For the total magnetic moment, the calculation gives 4.0 μB/f.u. The calculation puts the calculated density at 4735 kg/m³.

a b c (Å): 4.8369 4.8369 4.3691
angles (deg): 90.00 90.00 90.00
Space group P4/mmm (No. 123)
Unique sites:
Ca: 0.0000 0.0000 0.0000
Tl: 0.5000 0.5000 0.5000
N: 0.0000 0.5000 0.0000
F: 0.0000 0.0000 0.5000

=====

Entry 12:
A plane-wave DFT calculation with PBE-GGA was carried out for a geometry-optimized CaTlNF2 structure.

Calculated values
As for the calculated volume: 97.8 Å³/cell. For the formation energy (no corrections), the calculation gives -693 kJ/mol of formula units. As for the crystal system: tetragonal. The raw total energy is -23.6 eV/cell. For the offset from the most stable computed form, the calculation gives 0 meV per atom. For the total magnetic moment, the calculation gives 2.0 μB/f.u. The calculation puts the calculated density at 5035 kg/m³.

a b c (Å): 4.4346 4.4346 4.9718
angles (deg): 90.00 90.00 90.00
Space group P4/mmm (No. 123)
Unique sites:
Ca: 0.0000 0.0000 0.0000
Tl: 0.5000 0.5000 0.5000
N: 0.0000 0.0000 0.5000
F: 0.0000 0.5000 0.0000

=====

Entry 13:
A plane-wave DFT calculation with PBE-GGA was carried out for a geometry-optimized CaTlNF2 structure.

Calculated values
As for the calculated volume: 87.0 Å³/cell. For the formation energy (no corrections), the calculation gives -524 kJ/mol of formula units. As for the crystal system: tetragonal. The raw total energy is -21.9 eV/cell. For the offset from the most stable computed form, the calculation gives 351 meV per atom. For the total magnetic moment, the calculation gives 0.0 μB/f.u. The calculation puts the calculated density at 5656 kg/m³.

a b c (Å): 4.5667 4.5667 4.1737
angles (deg): 90.00 90.00 90.00
Space group P4/mmm (No. 123)
Unique sites:
Ca: 0.0000 0.0000 0.0000
Tl: 0.5000 0.5000 0.5000
N: 0.5000 0.5000 0.0000
F: 0.0000 0.5000 0.5000